# Zr5CuAu

A geometry-optimized Zr5CuAu structure (GGA-PBE, the Alexandria database). Values from VASP.

Quantum ESPRESSO input file:
```
&SYSTEM
  ibrav = 0, nat = 14, ntyp = 3
/
ATOMIC_SPECIES
Zr 91.22 Zr.upf
Cu 63.55 Cu.upf
Au 196.97 Au.upf
CELL_PARAMETERS angstrom
3.830 -3.726 0.000
3.830 3.726 0.000
-2.919 0.000 10.281
ATOMIC_POSITIONS angstrom
Zr 1.641 3.624 7.711
Zr 1.689 1.504 1.436
Zr 1.506 1.054 4.610
Zr 0.230 -1.504 6.577
Zr 4.695 1.054 0.531
Zr 0.046 -1.054 9.750
Zr 4.511 1.504 3.704
Zr 3.236 -1.054 5.671
Zr 3.052 -1.504 8.845
Zr 3.100 -3.624 2.570
Cu 0.000 0.000 0.000
Cu -1.459 0.000 5.141
Au 1.641 0.738 7.711
Au 3.100 -0.738 2.570
```

Output
size of the total moment = 0.00 μB per formula unit
ΔE_f = -28 meV per atom
N(E_F) = 15.8 states/eV per cell
E_tot = -7.1869 eV/atom